1.
Computed, not measured: a relaxed structure of Ac2In3Hg at the PBE-GGA level of DFT.

```
data_Ac2In3Hg
_cell_length_a 11.9794
_cell_length_b 5.0886
_cell_length_c 8.0906
_cell_angle_alpha 90.00
_cell_angle_beta 132.21
_cell_angle_gamma 90.00
_space_group_name_H-M_alt 'C 1 m 1'
_space_group_IT_number 8
_space_group_name_Hall 'C -2y'
loop_
_atom_site_label
_atom_site_type_symbol
_atom_site_fract_x
_atom_site_fract_y
_atom_site_fract_z
Ac1 Ac 0.0000 0.0000 0.0000
Ac2 Ac 0.0751 0.0000 0.5786
In1 In 0.1986 0.5000 0.9949
In2 In 0.2021 0.5000 0.4079
In3 In 0.3745 0.0000 0.1713
Hg1 Hg 0.3719 0.0000 0.5685
```

---

2.
Computed, not measured: a relaxed structure of La3Se at the PBE-GGA level of DFT.

```
data_La3Se
_cell_length_a 3.7811
_cell_length_b 3.7811
_cell_length_c 8.7969
_cell_angle_alpha 90.00
_cell_angle_beta 90.00
_cell_angle_gamma 90.00
_space_group_name_H-M_alt 'P 4/m m m'
_space_group_IT_number 123
_space_group_name_Hall '-P 4 2'
loop_
_atom_site_label
_atom_site_type_symbol
_atom_site_fract_x
_atom_site_fract_y
_atom_site_fract_z
La1 La 0.0000 0.0000 0.0000
La2 La 0.5000 0.5000 0.2953
Se1 Se 0.0000 0.0000 0.5000
```

---

3.
Computed, not measured: a relaxed structure of YCd2In at the PBE-GGA level of DFT.

```
data_YCd2In
_cell_length_a 7.3067
_cell_length_b 7.3067
_cell_length_c 7.3067
_cell_angle_alpha 90.00
_cell_angle_beta 90.00
_cell_angle_gamma 90.00
_space_group_name_H-M_alt 'F -4 3 m'
_space_group_IT_number 216
_space_group_name_Hall 'F -4 2 3'
loop_
_atom_site_label
_atom_site_type_symbol
_atom_site_fract_x
_atom_site_fract_y
_atom_site_fract_z
Y1 Y 0.0000 0.0000 0.0000
Cd1 Cd 0.0000 0.0000 0.5000
Cd2 Cd 0.2500 0.2500 0.7500
In1 In 0.2500 0.2500 0.2500
```

---

4.
Computed, not measured: a relaxed structure of LaInCu2S at the PBE-GGA level of DFT.

```
data_LaInCu2S
_cell_length_a 4.6732
_cell_length_b 4.6732
_cell_length_c 6.4069
_cell_angle_alpha 90.00
_cell_angle_beta 90.00
_cell_angle_gamma 90.00
_space_group_name_H-M_alt 'P 4/m m m'
_space_group_IT_number 123
_space_group_name_Hall '-P 4 2'
loop_
_atom_site_label
_atom_site_type_symbol
_atom_site_fract_x
_atom_site_fract_y
_atom_site_fract_z
La1 La 0.0000 0.0000 0.0000
In1 In 0.0000 0.0000 0.5000
Cu1 Cu 0.0000 0.5000 0.5000
S1 S 0.5000 0.5000 0.0000
```

---

5.
Computed, not measured: a relaxed structure of RbTmBi2 at the PBE-GGA level of DFT.

```
data_RbTmBi2
_cell_length_a 4.7659
_cell_length_b 4.7659
_cell_length_c 25.2510
_cell_angle_alpha 90.00
_cell_angle_beta 90.00
_cell_angle_gamma 120.00
_space_group_name_H-M_alt 'R 3 m'
_space_group_IT_number 160
_space_group_name_Hall 'R 3 -2"'
loop_
_atom_site_label
_atom_site_type_symbol
_atom_site_fract_x
_atom_site_fract_y
_atom_site_fract_z
Rb1 Rb 0.0000 0.0000 0.0000
Tm1 Tm 0.0000 0.0000 0.1711
Bi1 Bi 0.0000 0.0000 0.5626
Bi2 Bi 0.0000 0.0000 0.7781
```

---

6.
Computed, not measured: a relaxed structure of RbSi2MoPt at the PBE-GGA level of DFT.

```
data_RbSi2MoPt
_cell_length_a 4.8330
_cell_length_b 4.8330
_cell_length_c 5.0815
_cell_angle_alpha 90.00
_cell_angle_beta 90.00
_cell_angle_gamma 90.00
_space_group_name_H-M_alt 'P 4/m m m'
_space_group_IT_number 123
_space_group_name_Hall '-P 4 2'
loop_
_atom_site_label
_atom_site_type_symbol
_atom_site_fract_x
_atom_site_fract_y
_atom_site_fract_z
Rb1 Rb 0.0000 0.0000 0.0000
Si1 Si 0.0000 0.5000 0.5000
Mo1 Mo 0.5000 0.5000 0.5000
Pt1 Pt 0.5000 0.5000 0.0000
```

---

7.
Computed, not measured: a relaxed structure of Ti2MnBiN at the PBE-GGA level of DFT.

```
data_Ti2MnBiN
_cell_length_a 4.8550
_cell_length_b 4.8550
_cell_length_c 3.5444
_cell_angle_alpha 90.00
_cell_angle_beta 90.00
_cell_angle_gamma 90.00
_space_group_name_H-M_alt 'P 4/m m m'
_space_group_IT_number 123
_space_group_name_Hall '-P 4 2'
loop_
_atom_site_label
_atom_site_type_symbol
_atom_site_fract_x
_atom_site_fract_y
_atom_site_fract_z
Ti1 Ti 0.0000 0.5000 0.0000
Mn1 Mn 0.0000 0.0000 0.0000
Bi1 Bi 0.5000 0.5000 0.5000
N1 N 0.0000 0.0000 0.5000
```

---

8.
Computed, not measured: a relaxed structure of AcPuAsPd at the PBE-GGA level of DFT.

```
data_AcPuAsPd
_cell_length_a 7.4234
_cell_length_b 7.4234
_cell_length_c 7.4234
_cell_angle_alpha 90.00
_cell_angle_beta 90.00
_cell_angle_gamma 90.00
_space_group_name_H-M_alt 'F -4 3 m'
_space_group_IT_number 216
_space_group_name_Hall 'F -4 2 3'
loop_
_atom_site_label
_atom_site_type_symbol
_atom_site_fract_x
_atom_site_fract_y
_atom_site_fract_z
Ac1 Ac 0.0000 0.0000 0.0000
Pu1 Pu 0.0000 0.0000 0.5000
As1 As 0.2500 0.2500 0.2500
Pd1 Pd 0.2500 0.2500 0.7500
```

---

9.
Computed, not measured: a relaxed structure of KRh2W at the PBE-GGA level of DFT.

```
data_KRh2W
_cell_length_a 2.9064
_cell_length_b 3.1203
_cell_length_c 8.5061
_cell_angle_alpha 90.00
_cell_angle_beta 90.00
_cell_angle_gamma 90.00
_space_group_name_H-M_alt 'P m m m'
_space_group_IT_number 47
_space_group_name_Hall '-P 2 2'
loop_
_atom_site_label
_atom_site_type_symbol
_atom_site_fract_x
_atom_site_fract_y
_atom_site_fract_z
K1 K 0.0000 0.0000 0.0000
Rh1 Rh 0.5000 0.5000 0.3141
W1 W 0.0000 0.0000 0.5000
```

---

10.
Computed, not measured: a relaxed structure of TaSiAgF2 at the PBE-GGA level of DFT.

```
data_TaSiAgF2
_cell_length_a 3.9419
_cell_length_b 3.9419
_cell_length_c 6.0863
_cell_angle_alpha 90.00
_cell_angle_beta 90.00
_cell_angle_gamma 90.00
_space_group_name_H-M_alt 'P 4/m m m'
_space_group_IT_number 123
_space_group_name_Hall '-P 4 2'
loop_
_atom_site_label
_atom_site_type_symbol
_atom_site_fract_x
_atom_site_fract_y
_atom_site_fract_z
Ta1 Ta 0.0000 0.0000 0.0000
Si1 Si 0.5000 0.5000 0.0000
Ag1 Ag 0.0000 0.0000 0.5000
F1 F 0.0000 0.5000 0.5000
```

---

11.
Computed, not measured: a relaxed structure of Y2PuNpP4 at the PBE-GGA level of DFT.

```
data_Y2PuNpP4
_cell_length_a 6.8879
_cell_length_b 3.9958
_cell_length_c 6.9330
_cell_angle_alpha 90.00
_cell_angle_beta 109.54
_cell_angle_gamma 90.00
_space_group_name_H-M_alt 'P 1 2/m 1'
_space_group_IT_number 10
_space_group_name_Hall '-P 2y'
loop_
_atom_site_label
_atom_site_type_symbol
_atom_site_fract_x
_atom_site_fract_y
_atom_site_fract_z
Y1 Y 0.0000 0.0000 0.0000
Y2 Y 0.0000 0.5000 0.5000
Pu1 Pu 0.5000 0.0000 0.5000
Np1 Np 0.5000 0.5000 0.0000
P1 P 0.2570 0.0000 0.7540
P2 P 0.2572 0.5000 0.2503
```

---

12.
Computed, not measured: a relaxed structure of TbNdCuRu at the PBE-GGA level of DFT.

```
data_TbNdCuRu
_cell_length_a 6.9964
_cell_length_b 6.9964
_cell_length_c 6.9964
_cell_angle_alpha 90.00
_cell_angle_beta 90.00
_cell_angle_gamma 90.00
_space_group_name_H-M_alt 'F -4 3 m'
_space_group_IT_number 216
_space_group_name_Hall 'F -4 2 3'
loop_
_atom_site_label
_atom_site_type_symbol
_atom_site_fract_x
_atom_site_fract_y
_atom_site_fract_z
Tb1 Tb 0.0000 0.0000 0.0000
Nd1 Nd 0.0000 0.0000 0.5000
Cu1 Cu 0.2500 0.2500 0.7500
Ru1 Ru 0.2500 0.2500 0.2500
```

---

How do the records compare in volume? In the order shown, they have 365, 126, 390, 140, 497, 119, 84, 409, 77, 95, 180, 342 Å³ per cell.
How do the records compare in energy? In the order shown, they have -3.26, -5.33, -3.01, -3.83, -3.63, -5.34, -7.25, -7.76, -6.95, -4.73, -9.05, -5.92 eV/atom.